Material: BaCe2MoO8
Method: DFT, PBE+U
State: optimized geometry

Calculated values
E ... -7.65 eV/atom

Unit cell a=5.172 b=5.148 c=7.232 alpha=89.96 beta=89.96 gamma=88.17
Positions (direct):
Ba (0.000, 0.000, 0.500)
Ce (0.500, 0.500, 0.753)
Ce (0.500, 0.500, 0.247)
Mo (0.000, 0.000, 0.000)
O (0.183, 0.801, 0.190)
O (0.722, 0.735, 0.000)
O (0.817, 0.199, 0.190)
O (0.817, 0.199, 0.810)
O (0.278, 0.265, 0.000)
O (0.183, 0.801, 0.810)
O (0.639, 0.686, 0.500)
O (0.361, 0.314, 0.500)